Entry 1:
DFT (GGA-PBE) results for Ca2NiW after structural relaxation.

The structure belongs to space group I-42d (No. 122); the cell edges are 10.3068, 10.3068 and 4.5873 Å and the angles 90.00°, 90.00° and 90.00°. Symmetry generates all atoms from Ca at (0.0891, 0.7500, 0.1250), Ni at (0.0000, 0.0000, 0.0000) and W at (0.0000, 0.0000, 0.5000).

For the excess energy over the best structure of this formula in the dataset, the calculation gives 2.07 eV/f.u. For the density of states at the Fermi level, the calculation gives 0.902 states/eV/atom. The energy of formation from the pure elements is 350 kJ/mol of formula units. For the total energy, the calculation gives -4.777 eV per atom.

***

Entry 2:
DFT (GGA-PBE) results for Pm5Nd3Y4 after structural relaxation.

The structure belongs to space group C2/m (No. 12); the cell edges are 16.2929, 6.0355 and 9.4071 Å and the angles 90.00°, 116.41° and 90.00°. Symmetry generates all atoms from Pm at (0.0000, 0.0000, 0.0000), Pm at (0.0759, 0.5000, 0.6988), Pm at (0.1729, 0.5000, 0.3851), Nd at (0.0000, 0.5000, 0.0000), Nd at (0.2087, 0.0000, 0.2301), Y at (0.0810, 0.0000, 0.4396) and Y at (0.2108, 0.0000, 0.8770).

For the excess energy over the best structure of this formula in the dataset, the calculation gives 2.37 eV/f.u. For the density of states at the Fermi level, the calculation gives 1.666 states/eV/atom. The energy of formation from the pure elements is 242 kJ/mol of formula units. For the total energy, the calculation gives -5.117 eV per atom.

***

Entry 3:
DFT (GGA-PBE) results for Ba2Mg5Ag12 after structural relaxation.

The structure belongs to space group R-3m (No. 166, hexagonal axes); the cell edges are 9.9693, 9.9693 and 14.5161 Å and the angles 90.00°, 90.00° and 120.00°. Symmetry generates all atoms from Ba at (0.0000, 0.0000, 0.1439), Mg at (0.0000, 0.0000, 0.3997), Mg at (0.0000, 0.5000, 0.0000), Ag at (0.0000, 0.2940, 0.5000) and Ag at (0.0146, 0.5073, 0.3465).

For the density of states at the Fermi level, the calculation gives 0.336 states/eV/atom. The energy of formation from the pure elements is -318 kJ/mol of formula units. For the total energy, the calculation gives -2.596 eV per atom.

***

Entry 4:
DFT (GGA-PBE) results for PmNd3Rh after structural relaxation.

The structure belongs to space group P1 (No. 1); the cell edges are 5.6970, 7.4969 and 7.5041 Å and the angles 77.64°, 89.99° and 89.97°. Symmetry generates all atoms from Pm at (0.0000, 0.0000, 0.0000), Pm at (0.0000, 0.3478, 0.4883), Nd at (0.9998, 0.4687, 0.9533), Nd at (0.9995, 0.8652, 0.5338), Nd at (0.4999, 0.2324, 0.2288), Nd at (0.5000, 0.2764, 0.7620), Nd at (0.4998, 0.6973, 0.3652), Nd at (0.4997, 0.7417, 0.8842), Rh at (0.9999, 0.6662, 0.2324) and Rh at (0.4990, 0.9985, 0.5635).

For the excess energy over the best structure of this formula in the dataset, the calculation gives 0.01 eV/f.u. For the density of states at the Fermi level, the calculation gives 1.297 states/eV/atom. The energy of formation from the pure elements is -128 kJ/mol of formula units. For the total energy, the calculation gives -5.546 eV per atom.